## Hf8In2C3N3 (PBE-GGA)

Data for a relaxed Hf8In2C3N3 crystal.

Cell and atoms, written as POSCAR:
```
Hf8In2C3N3
1.0
3.278 0.000 0.000
-1.639 2.839 0.000
0.000 0.000 25.176
Hf In C N
8 2 3 3
Cartesian
0.000 0.000 3.776
0.000 0.000 8.704
0.000 0.000 16.472
0.000 0.000 21.399
0.000 1.892 13.880
0.000 1.892 23.855
1.639 0.946 1.321
1.639 0.946 11.296
0.000 1.892 18.958
1.639 0.946 6.218
0.000 0.000 12.588
0.000 1.892 9.847
1.639 0.946 15.329
0.000 0.000 0.000
0.000 1.892 2.566
1.639 0.946 22.610
```

***

## Hf3InCN (PBE-GGA)

Data for a relaxed Hf3InCN crystal.

Cell and atoms, written as POSCAR:
```
Hf3InCN
1.0
3.282 0.000 0.000
-1.641 2.842 0.000
0.000 0.000 19.969
Hf In C N
6 2 2 2
Cartesian
0.000 0.000 0.000
0.000 0.000 9.984
0.000 1.895 2.514
0.000 1.895 7.435
1.641 0.947 12.533
1.641 0.947 17.455
0.000 0.000 4.945
0.000 0.000 15.024
0.000 1.895 11.373
1.641 0.947 8.595
0.000 1.895 18.680
1.641 0.947 1.289
```

***

## Hf4In2CN (PBE-GGA)

Data for a relaxed Hf4In2CN crystal.

Cell and atoms, written as POSCAR:
```
Hf4In2CN
1.0
3.291 0.000 0.000
-1.645 2.850 0.000
0.000 0.000 14.761
Hf In C N
4 2 1 1
Cartesian
0.000 1.900 1.228
0.000 1.900 6.163
1.645 0.950 8.598
1.645 0.950 13.533
0.000 1.900 11.049
1.645 0.950 3.712
0.000 0.000 0.000
0.000 0.000 7.381
```

***

## Hf4In2PC (PBE-GGA)

Data for a relaxed Hf4In2PC crystal.

Cell and atoms, written as POSCAR:
```
Hf4In2PC
1.0
3.415 0.000 0.000
-1.708 2.958 0.000
0.000 0.000 15.252
Hf In P C
4 2 1 1
Cartesian
0.000 1.972 1.530
0.000 1.972 6.425
1.708 0.986 8.827
1.708 0.986 13.722
0.000 1.972 11.277
1.708 0.986 3.976
0.000 0.000 0.000
0.000 0.000 7.626
```

***

## Hf4InPbC2 (PBE-GGA)

Data for a relaxed Hf4InPbC2 crystal.

Cell and atoms, written as POSCAR:
```
Hf4InPbC2
1.0
3.349 0.000 0.000
-1.675 2.901 0.000
0.000 0.000 14.780
Hf In Pb C
4 1 1 2
Cartesian
0.000 0.000 2.476
0.000 0.000 12.304
0.000 1.934 4.892
0.000 1.934 9.888
0.000 1.934 0.000
0.000 0.000 7.390
1.675 0.967 3.687
1.675 0.967 11.093
```

***

## Hf4Sc2In3C3 (PBE-GGA)

Data for a relaxed Hf4Sc2In3C3 crystal.

Cell and atoms, written as POSCAR:
```
Hf4Sc2In3C3
1.0
4.994 -2.885 0.000
4.994 2.885 0.000
-3.351 0.000 15.019
Hf Sc In C
8 4 6 6
Cartesian
0.830 0.509 1.205
0.845 0.468 6.304
-0.845 -0.509 8.714
-0.830 -0.468 13.813
7.467 0.468 1.205
7.482 0.509 6.304
5.791 -0.468 8.715
5.806 -0.509 13.814
4.185 0.469 1.265
4.127 0.469 6.244
2.509 -0.469 8.775
2.452 -0.469 13.753
4.156 2.488 3.755
0.747 0.517 11.249
2.423 -0.517 3.739
4.213 0.517 11.279
5.889 -0.517 3.770
2.480 -2.488 11.264
2.497 1.443 0.000
2.462 1.483 7.509
5.850 1.483 0.000
0.821 -1.443 7.509
4.138 -1.483 0.000
4.174 -1.483 7.509
```

***

## Hf4InC2Se (PBE-GGA)

Data for a relaxed Hf4InC2Se crystal.

Cell and atoms, written as POSCAR:
```
Hf4InC2Se
1.0
3.382 0.000 0.000
-1.691 2.929 0.000
0.000 0.000 13.637
Hf In C Se
4 1 2 1
Cartesian
0.000 0.000 1.947
0.000 0.000 11.691
1.691 0.976 4.354
1.691 0.976 9.284
0.000 0.000 6.819
0.000 1.952 3.157
0.000 1.952 10.481
1.691 0.976 0.000
```

***

## Hf4InSiC2 (PBE-GGA)

Data for a relaxed Hf4InSiC2 crystal.

Cell and atoms, written as POSCAR:
```
Hf4InSiC2
1.0
3.300 0.000 0.000
-1.650 2.858 0.000
0.000 0.000 14.137
Hf In Si C
4 1 1 2
Cartesian
0.000 0.000 2.086
0.000 0.000 12.051
1.650 0.953 4.573
1.650 0.953 9.564
0.000 0.000 7.069
1.650 0.953 0.000
0.000 1.905 3.357
0.000 1.905 10.780
```

***

How do the records compare in DFT total energy? In the order shown, they have -9.728, -9.385, -8.727, -8.194, -8.763, -8.028, -9.003, -9.051 eV/atom.